# 1
Below is a relaxed structure of RbCoNiS3, with properties calculated at the PBE level.

Cell and atoms, written as POSCAR:
```
RbCoNiS3
1.0
1.732 -7.434 0.000
1.732 7.434 0.000
0.000 0.000 9.235
S Co Ni Rb
6 2 2 2
Direct
0.600 0.400 0.043
0.400 0.600 0.543
0.600 0.400 0.457
0.400 0.600 0.957
0.941 0.059 0.250
0.059 0.941 0.750
0.000 0.000 0.500
0.000 0.000 0.000
0.469 0.531 0.750
0.531 0.469 0.250
0.750 0.250 0.750
0.250 0.750 0.250
```

V ... 238 Å³/cell
Space-group type ... Cmcm, No. 63
Final energy ... -28.9 eV/f.u.


# 2
Below is a relaxed structure of Rb2Co2NiS4, with properties calculated at the PBE level.

Cell and atoms, written as POSCAR:
```
Rb2Co2NiS4
1.0
3.009 -7.941 1.488
-2.212 -7.219 -0.838
4.313 -2.100 -3.190
Co Rb S Ni
2 2 4 1
Direct
0.000 0.000 0.500
0.500 0.500 0.000
0.841 0.841 0.159
0.159 0.159 0.841
0.563 0.230 0.770
0.230 0.563 0.437
0.437 0.770 0.230
0.770 0.437 0.563
0.500 0.500 0.500
```

V ... 202 Å³/cell
Space-group type ... Fmmm, No. 69
Final energy ... -44.3 eV/f.u.


Q: What is the V in the first record?
A: 238 Å³/cell